First-principles (PBE) data for a relaxed structure of Cs3CuF7, as listed in the Alexandria database.

Calculated values
total magnetic moment	1.372	μB per formula unit
electronic total energy	-3.9193	eV/atom

abc: 8.434 8.434 6.340
angles: 90.00 90.00 90.00
Fractional positions:
1 Cs 0.000 0.000 0.000
2 Cs 0.188 0.312 0.500
3 Cs 0.312 0.812 0.500
4 Cs 0.500 0.500 0.000
5 Cs 0.688 0.188 0.500
6 Cs 0.812 0.688 0.500
7 Cu 0.000 0.500 0.000
8 Cu 0.500 0.000 0.000
9 F 0.000 0.000 0.500
10 F 0.112 0.612 0.214
11 F 0.112 0.612 0.786
12 F 0.154 0.346 0.000
13 F 0.346 0.846 0.000
14 F 0.388 0.112 0.214
15 F 0.388 0.112 0.786
16 F 0.500 0.500 0.500
17 F 0.612 0.888 0.214
18 F 0.612 0.888 0.786
19 F 0.654 0.154 0.000
20 F 0.846 0.654 0.000
21 F 0.888 0.388 0.214
22 F 0.888 0.388 0.786